Entry 1:
This record from Alexandria via LeMat-Bulk describes an optimized crystal structure of Ac6PtSe3S2. The functional is PBE. Values from VASP.

Values from the calculation:
E_form (uncorrected) = -1.7935 eV per atom
final energy = -5.9101 eV/atom

```
&SYSTEM
  ibrav = 0, nat = 12, ntyp = 4
/
ATOMIC_SPECIES
Ac 227.00 Ac.upf
Pt 195.08 Pt.upf
Se 78.96 Se.upf
S 32.06 S.upf
ATOMIC_POSITIONS crystal
Ac 0.078 0.410 0.237
Ac 0.252 0.252 0.761
Ac 0.410 0.078 0.237
Ac 0.590 0.922 0.763
Ac 0.748 0.748 0.239
Ac 0.922 0.590 0.763
Pt 0.000 0.000 0.000
Se 0.170 0.830 0.500
Se 0.500 0.500 0.500
Se 0.830 0.170 0.500
S 0.334 0.666 0.000
S 0.666 0.334 0.000
CELL_PARAMETERS angstrom
3.827 -6.611 0.000
3.827 6.611 0.000
-2.561 0.000 7.289
```

---

Entry 2:
This record from Alexandria via LeMat-Bulk describes an optimized crystal structure of Ac4Pt2SeS. The functional is PBE. Values from VASP.

Values from the calculation:
E_form (uncorrected) = -1.5320 eV per atom
final energy = -6.0480 eV/atom

```
&SYSTEM
  ibrav = 0, nat = 8, ntyp = 4
/
ATOMIC_SPECIES
Ac 227.00 Ac.upf
Pt 195.08 Pt.upf
Se 78.96 Se.upf
S 32.06 S.upf
ATOMIC_POSITIONS crystal
Ac 0.240 0.000 0.230
Ac 0.253 0.500 0.767
Ac 0.747 0.500 0.233
Ac 0.760 0.000 0.770
Pt 0.000 0.500 0.000
Pt 0.500 0.000 0.000
Se 0.500 0.500 0.500
S 0.000 0.000 0.500
CELL_PARAMETERS angstrom
7.517 0.000 0.000
0.000 4.325 0.000
-2.490 0.000 7.696
```

---

Entry 3:
This record from Alexandria via LeMat-Bulk describes an optimized crystal structure of Ac6Pt3Se2S. The functional is PBE. Values from VASP.

Values from the calculation:
E_form (uncorrected) = -1.5287 eV per atom
final energy = -6.0179 eV/atom

```
&SYSTEM
  ibrav = 0, nat = 12, ntyp = 4
/
ATOMIC_SPECIES
Ac 227.00 Ac.upf
Pt 195.08 Pt.upf
Se 78.96 Se.upf
S 32.06 S.upf
ATOMIC_POSITIONS crystal
Ac 0.005 0.005 0.243
Ac 0.331 0.331 0.430
Ac 0.339 0.339 0.902
Ac 0.661 0.661 0.098
Ac 0.669 0.669 0.570
Ac 0.995 0.995 0.757
Pt 0.167 0.167 0.335
Pt 0.500 0.500 0.000
Pt 0.833 0.833 0.665
Se 0.167 0.167 0.834
Se 0.833 0.833 0.166
S 0.500 0.500 0.500
CELL_PARAMETERS angstrom
9.948 -2.169 0.000
9.948 2.169 0.000
-2.820 0.000 8.765
```

---

Entry 4:
This record from Alexandria via LeMat-Bulk describes an optimized crystal structure of Ac8Pt3Se4S. The functional is PBE. Values from VASP.

Values from the calculation:
E_form (uncorrected) = -1.6000 eV per atom
final energy = -5.9160 eV/atom

```
&SYSTEM
  ibrav = 0, nat = 16, ntyp = 4
/
ATOMIC_SPECIES
Ac 227.00 Ac.upf
Pt 195.08 Pt.upf
Se 78.96 Se.upf
S 32.06 S.upf
ATOMIC_POSITIONS crystal
Ac 0.239 0.747 0.747
Ac 0.241 0.241 0.241
Ac 0.253 0.253 0.761
Ac 0.253 0.761 0.253
Ac 0.747 0.239 0.747
Ac 0.747 0.747 0.239
Ac 0.759 0.759 0.759
Ac 0.761 0.253 0.253
Pt 0.000 0.000 0.500
Pt 0.000 0.500 0.000
Pt 0.500 0.000 0.000
Se 0.000 0.000 0.000
Se 0.000 0.500 0.500
Se 0.500 0.000 0.500
Se 0.500 0.500 0.000
S 0.500 0.500 0.500
CELL_PARAMETERS angstrom
4.383 2.530 7.644
-4.383 2.530 7.644
0.000 -5.060 7.644
```

---

Entry 5:
This record from Alexandria via LeMat-Bulk describes an optimized crystal structure of Ac6PtSe2S3. The functional is PBE. Values from VASP.

Values from the calculation:
E_form (uncorrected) = -1.8033 eV per atom
final energy = -5.9735 eV/atom

```
&SYSTEM
  ibrav = 0, nat = 12, ntyp = 4
/
ATOMIC_SPECIES
Ac 227.00 Ac.upf
Pt 195.08 Pt.upf
Se 78.96 Se.upf
S 32.06 S.upf
ATOMIC_POSITIONS crystal
Ac 0.085 0.410 0.756
Ac 0.240 0.240 0.242
Ac 0.410 0.085 0.756
Ac 0.590 0.915 0.244
Ac 0.760 0.760 0.758
Ac 0.915 0.590 0.244
Pt 0.000 0.000 0.500
Se 0.334 0.666 0.500
Se 0.666 0.334 0.500
S 0.172 0.828 0.000
S 0.500 0.500 0.000
S 0.828 0.172 0.000
CELL_PARAMETERS angstrom
3.830 -6.610 0.000
3.830 6.610 0.000
-2.550 0.000 7.127
```

---

Entry 6:
This record from Alexandria via LeMat-Bulk describes an optimized crystal structure of Ac4SiPtS2. The functional is PBE. Values from VASP.

Values from the calculation:
E_form (uncorrected) = -1.3858 eV per atom
final energy = -5.9049 eV/atom

```
&SYSTEM
  ibrav = 0, nat = 8, ntyp = 4
/
ATOMIC_SPECIES
Ac 227.00 Ac.upf
Si 28.09 Si.upf
Pt 195.08 Pt.upf
S 32.06 S.upf
ATOMIC_POSITIONS crystal
Ac 0.247 0.000 0.246
Ac 0.249 0.500 0.753
Ac 0.751 0.500 0.247
Ac 0.753 0.000 0.754
Si 0.500 0.000 0.000
Pt 0.000 0.500 0.000
S 0.000 0.000 0.500
S 0.500 0.500 0.500
CELL_PARAMETERS angstrom
7.657 0.000 0.000
0.000 4.416 0.000
-2.488 0.000 7.304
```

---

Entry 7:
This record from Alexandria via LeMat-Bulk describes an optimized crystal structure of Ac8Te4PtS3. The functional is PBE. Values from VASP.

Values from the calculation:
E_form (uncorrected) = -1.6429 eV per atom
final energy = -5.6339 eV/atom

```
&SYSTEM
  ibrav = 0, nat = 16, ntyp = 4
/
ATOMIC_SPECIES
Ac 227.00 Ac.upf
Te 127.60 Te.upf
Pt 195.08 Pt.upf
S 32.06 S.upf
ATOMIC_POSITIONS crystal
Ac 0.239 0.239 0.239
Ac 0.243 0.738 0.738
Ac 0.262 0.262 0.757
Ac 0.262 0.757 0.262
Ac 0.738 0.243 0.738
Ac 0.738 0.738 0.243
Ac 0.757 0.262 0.262
Ac 0.761 0.761 0.761
Te 0.000 0.000 0.000
Te 0.000 0.500 0.500
Te 0.500 0.000 0.500
Te 0.500 0.500 0.000
Pt 0.500 0.500 0.500
S 0.000 0.000 0.500
S 0.000 0.500 0.000
S 0.500 0.000 0.000
CELL_PARAMETERS angstrom
4.493 2.594 7.654
-4.493 2.594 7.654
0.000 -5.189 7.654
```

---

Entry 8:
This record from Alexandria via LeMat-Bulk describes an optimized crystal structure of Ac6Te3Pt2S. The functional is PBE. Values from VASP.

Values from the calculation:
E_form (uncorrected) = -1.4792 eV per atom
final energy = -5.6695 eV/atom

```
&SYSTEM
  ibrav = 0, nat = 12, ntyp = 4
/
ATOMIC_SPECIES
Ac 227.00 Ac.upf
Te 127.60 Te.upf
Pt 195.08 Pt.upf
S 32.06 S.upf
ATOMIC_POSITIONS crystal
Ac 0.085 0.427 0.784
Ac 0.230 0.230 0.216
Ac 0.427 0.085 0.784
Ac 0.573 0.915 0.216
Ac 0.770 0.770 0.784
Ac 0.915 0.573 0.216
Te 0.000 0.000 0.500
Te 0.337 0.663 0.500
Te 0.663 0.337 0.500
Pt 0.167 0.833 0.000
Pt 0.833 0.167 0.000
S 0.500 0.500 0.000
CELL_PARAMETERS angstrom
3.885 -6.724 0.000
3.885 6.724 0.000
-2.565 0.000 7.943
```

---

Entry 9:
This record from Alexandria via LeMat-Bulk describes an optimized crystal structure of Ac4TePtS2. The functional is PBE. Values from VASP.

Values from the calculation:
E_form (uncorrected) = -1.6037 eV per atom
final energy = -5.8376 eV/atom

```
&SYSTEM
  ibrav = 0, nat = 8, ntyp = 4
/
ATOMIC_SPECIES
Ac 227.00 Ac.upf
Te 127.60 Te.upf
Pt 195.08 Pt.upf
S 32.06 S.upf
ATOMIC_POSITIONS crystal
Ac 0.227 0.000 0.233
Ac 0.254 0.500 0.770
Ac 0.746 0.500 0.230
Ac 0.773 0.000 0.767
Te 0.500 0.500 0.500
Pt 0.500 0.000 0.000
S 0.000 0.000 0.500
S 0.000 0.500 0.000
CELL_PARAMETERS angstrom
7.749 0.000 0.000
0.000 4.370 0.000
-2.587 0.000 7.487
```

---

Entry 10:
This record from Alexandria via LeMat-Bulk describes an optimized crystal structure of Ac4TePt2S. The functional is PBE. Values from VASP.

Values from the calculation:
E_form (uncorrected) = -1.4250 eV per atom
final energy = -5.8981 eV/atom

```
&SYSTEM
  ibrav = 0, nat = 8, ntyp = 4
/
ATOMIC_SPECIES
Ac 227.00 Ac.upf
Te 127.60 Te.upf
Pt 195.08 Pt.upf
S 32.06 S.upf
ATOMIC_POSITIONS crystal
Ac 0.232 0.000 0.219
Ac 0.248 0.500 0.771
Ac 0.752 0.500 0.229
Ac 0.768 0.000 0.781
Te 0.500 0.500 0.500
Pt 0.000 0.500 0.000
Pt 0.500 0.000 0.000
S 0.000 0.000 0.500
CELL_PARAMETERS angstrom
7.631 0.000 0.000
0.000 4.373 0.000
-2.539 0.000 7.847
```

---

Entry 11:
This record from Alexandria via LeMat-Bulk describes an optimized crystal structure of Ac6TePt3S2. The functional is PBE. Values from VASP.

Values from the calculation:
E_form (uncorrected) = -1.4658 eV per atom
final energy = -5.9799 eV/atom

```
&SYSTEM
  ibrav = 0, nat = 12, ntyp = 4
/
ATOMIC_SPECIES
Ac 227.00 Ac.upf
Te 127.60 Te.upf
Pt 195.08 Pt.upf
S 32.06 S.upf
ATOMIC_POSITIONS crystal
Ac 0.004 0.004 0.226
Ac 0.324 0.324 0.425
Ac 0.335 0.335 0.912
Ac 0.665 0.665 0.088
Ac 0.676 0.676 0.575
Ac 0.996 0.996 0.774
Te 0.500 0.500 0.500
Pt 0.166 0.166 0.328
Pt 0.500 0.500 0.000
Pt 0.834 0.834 0.672
S 0.168 0.168 0.834
S 0.832 0.832 0.166
CELL_PARAMETERS angstrom
9.996 -2.177 0.000
9.996 2.177 0.000
-2.854 0.000 8.819
```

---

Entry 12:
This record from Alexandria via LeMat-Bulk describes an optimized crystal structure of AcThPtS. The functional is PBE. Values from VASP.

Values from the calculation:
E_form (uncorrected) = -1.4098 eV per atom
final energy = -6.8339 eV/atom

```
&SYSTEM
  ibrav = 0, nat = 12, ntyp = 4
/
ATOMIC_SPECIES
Ac 227.00 Ac.upf
Th 232.04 Th.upf
Pt 195.08 Pt.upf
S 32.06 S.upf
ATOMIC_POSITIONS crystal
Ac 0.000 0.000 0.000
Ac 0.333 0.667 0.667
Ac 0.667 0.333 0.333
Th 0.000 0.000 0.823
Th 0.333 0.667 0.489
Th 0.667 0.333 0.156
Pt 0.000 0.000 0.420
Pt 0.333 0.667 0.086
Pt 0.667 0.333 0.753
S 0.000 0.000 0.237
S 0.333 0.667 0.904
S 0.667 0.333 0.570
CELL_PARAMETERS angstrom
4.160 0.000 0.000
-2.080 3.603 0.000
0.000 0.000 22.798
```

---

| no. | theoretical density (g/cm3) |
| --- | --- |
| 1 | 8.36 |
| 2 | 9.35 |
| 3 | 9.38 |
| 4 | 8.98 |
| 5 | 8.33 |
| 6 | 8.04 |
| 7 | 8.12 |
| 8 | 8.67 |
| 9 | 8.48 |
| 10 | 9.25 |
| 11 | 9.26 |
| 12 | 10.00 |